# BaErTe2S6

An optimized crystal structure of BaErTe2S6 (PBE-GGA, the Alexandria database).

Values from the calculation:
- Electronic total energy: -4.594 eV per atom
- Formation energy (no corrections): -841 meV/atom

Cell: 6.7195 7.0173 7.8053 Å, 115.54 91.48 116.72°
Atoms (fractional coordinates):
Ba: 0.0000 0.0000 0.0000
Er: 0.5075 0.0428 0.5571
Te: 0.2195 0.4310 0.6406
Te: 0.6947 0.4403 0.1872
S: 0.0991 0.9593 0.3918
S: 0.4009 0.9173 0.8411
S: 0.4310 0.5615 0.3386
S: 0.5519 0.4751 0.8196
S: 0.7817 0.2502 0.3513
S: 0.9413 0.3134 0.8237


# BaAsP3

An optimized crystal structure of BaAsP3 (PBE-GGA, the Alexandria database).

Values from the calculation:
- Electronic total energy: -2.769 eV per atom
- Formation enthalpy at 0 K: 1.7916 eV/atom
- Offset from the most stable computed form: 1666 meV per atom

Cell: 5.6082 5.6082 5.6082 Å, 90.00 90.00 90.00°
Atoms (fractional coordinates):
Ba: 0.0000 0.0000 0.0000
As: 0.5000 0.5000 0.5000
P: 0.0000 0.0000 0.5000
P: 0.0000 0.5000 0.0000
P: 0.5000 0.0000 0.0000


# PmScAsO5

An optimized crystal structure of PmScAsO5 (PBE-GGA, the Alexandria database).

Values from the calculation:
- Electronic total energy: -7.582 eV per atom
- Formation energy (no corrections): -2517 meV/atom

Cell: 5.8009 5.8009 7.7848 Å, 107.28 107.28 101.59°
Atoms (fractional coordinates):
Pm: 0.1846 0.8154 0.7500
Pm: 0.8154 0.1846 0.2500
Sc: 0.5000 0.5000 0.0000
Sc: 0.5000 0.5000 0.5000
As: 0.1901 0.8099 0.2500
As: 0.8099 0.1901 0.7500
O: 0.1248 0.2390 0.9045
O: 0.1577 0.6145 0.4121
O: 0.2390 0.1248 0.4045
O: 0.3855 0.8423 0.0879
O: 0.4336 0.5664 0.7500
O: 0.5664 0.4336 0.2500
O: 0.6145 0.1577 0.9121
O: 0.7610 0.8752 0.5955
O: 0.8423 0.3855 0.5879
O: 0.8752 0.7610 0.0955


# ZnBiIN2

An optimized crystal structure of ZnBiIN2 (PBE-GGA, the Alexandria database).

Values from the calculation:
- Electronic total energy: -3.119 eV per atom
- Offset from the most stable computed form: 122 meV per atom
- Formation energy (no corrections): 1552 meV/atom

Cell: 4.3827 4.3827 5.5113 Å, 90.00 90.00 90.00°
Atoms (fractional coordinates):
Zn: 0.0000 0.0000 0.0000
Bi: 0.5000 0.5000 0.5000
I: 0.0000 0.0000 0.5000
N: 0.0000 0.5000 0.0000
N: 0.5000 0.0000 0.0000


# RbVSeN2

An optimized crystal structure of RbVSeN2 (PBE-GGA, the Alexandria database).

Values from the calculation:
- Electronic total energy: -5.697 eV per atom
- Offset from the most stable computed form: 0 meV per atom
- Formation energy (no corrections): 347 meV/atom

Cell: 4.0473 4.0473 5.0599 Å, 90.00 90.00 90.00°
Atoms (fractional coordinates):
Rb: 0.0000 0.0000 0.0000
V: 0.5000 0.5000 0.5000
Se: 0.5000 0.5000 0.0000
N: 0.0000 0.5000 0.5000
N: 0.5000 0.0000 0.5000


# YInSn2Br8

An optimized crystal structure of YInSn2Br8 (PBE-GGA, the Alexandria database).

Values from the calculation:
- Electronic total energy: -3.642 eV per atom
- Formation energy (no corrections): -1093 meV/atom

Cell: 6.8439 7.2257 9.0772 Å, 89.96 89.96 88.81°
Atoms (fractional coordinates):
Y: 0.0000 0.0000 0.0000
In: 0.0000 0.0000 0.5000
Sn: 0.5001 0.5000 0.2517
Sn: 0.4999 0.5000 0.7483
Br: 0.2391 0.8407 0.2210
Br: 0.2392 0.8408 0.7789
Br: 0.2401 0.3173 0.9998
Br: 0.2770 0.3610 0.5004
Br: 0.7230 0.6390 0.4996
Br: 0.7599 0.6827 0.0002
Br: 0.7608 0.1592 0.2211
Br: 0.7609 0.1593 0.7790


# SmMgAg2

An optimized crystal structure of SmMgAg2 (PBE-GGA, the Alexandria database).

Values from the calculation:
- Electronic total energy: -3.171 eV per atom
- Formation enthalpy at 0 K: -0.1665 eV/atom

Cell: 5.1837 5.1837 3.3458 Å, 90.00 90.00 90.00°
Atoms (fractional coordinates):
Sm: 0.0000 0.0000 0.0000
Mg: 0.5000 0.5000 0.0000
Ag: 0.0000 0.5000 0.5000
Ag: 0.5000 0.0000 0.5000


# PmDy7Tl4

An optimized crystal structure of PmDy7Tl4 (PBE-GGA, the Alexandria database).

Values from the calculation:
- Electronic total energy: -3.890 eV per atom
- Formation enthalpy at 0 K: -0.0208 eV/atom

Cell: 7.9008 7.9008 10.2494 Å, 120.44 120.44 42.59°
Atoms (fractional coordinates):
Pm: 0.0000 0.0000 0.0000
Dy: 0.0635 0.0635 0.3990
Dy: 0.2078 0.2078 0.8787
Dy: 0.2719 0.2719 0.3314
Dy: 0.5000 0.5000 0.0000
Dy: 0.7281 0.7281 0.6686
Dy: 0.7922 0.7922 0.1213
Dy: 0.9365 0.9365 0.6010
Tl: 0.3140 0.3140 0.6660
Tl: 0.4413 0.4413 0.2547
Tl: 0.5587 0.5587 0.7453
Tl: 0.6860 0.6860 0.3340


Which formula does entry 8 have?
PmDy7Tl4


What did the eighth record say?
# PmDy7Tl4

An optimized crystal structure of PmDy7Tl4 (PBE-GGA, the Alexandria database).

Values from the calculation:
- Electronic total energy: -3.890 eV per atom
- Formation enthalpy at 0 K: -0.0208 eV/atom

Cell: 7.9008 7.9008 10.2494 Å, 120.44 120.44 42.59°
Atoms (fractional coordinates):
Pm: 0.0000 0.0000 0.0000
Dy: 0.0635 0.0635 0.3990
Dy: 0.2078 0.2078 0.8787
Dy: 0.2719 0.2719 0.3314
Dy: 0.5000 0.5000 0.0000
Dy: 0.7281 0.7281 0.6686
Dy: 0.7922 0.7922 0.1213
Dy: 0.9365 0.9365 0.6010
Tl: 0.3140 0.3140 0.6660
Tl: 0.4413 0.4413 0.2547
Tl: 0.5587 0.5587 0.7453
Tl: 0.6860 0.6860 0.3340


What is the electronic total energy in the fourth record?
-3.119 eV per atom